one) This record from Alexandria describes a geometry-optimized Tl5In3 structure. The functional is PBE.

The density of states at the Fermi level is 3.13 states/eV/f.u. The spin magnetization is 0.000 μB/atom.

It has space group Pmm2 (No. 25), with a = 3.714 Å, b = 5.705 Å, c = 11.176 Å, α = 90.00°, β = 90.00° and γ = 90.00°. The inequivalent atoms are Tl at (0.000, 0.000, 0.000), Tl at (0.000, 0.000, 0.484), Tl at (0.000, 0.500, 0.785), Tl at (0.500, 0.000, 0.741), Tl at (0.500, 0.500, 0.520), In at (0.000, 0.500, 0.269), In at (0.500, 0.000, 0.242) and In at (0.500, 0.500, 0.035).

=====

two) This record from Alexandria describes a geometry-optimized Tl5In3 structure. The functional is PBE.

The density of states at the Fermi level is 3.29 states/eV/f.u. The spin magnetization is 0.000 μB/atom.

It has space group Cmmm (No. 65), with a = 9.085 Å, b = 9.680 Å, c = 5.349 Å, α = 90.00°, β = 90.00° and γ = 90.00°. The inequivalent atoms are Tl at (0.000, 0.000, 0.000), Tl at (0.244, 0.500, 0.500), Tl at (0.250, 0.250, 0.000), In at (0.000, 0.247, 0.500) and In at (0.000, 0.500, 0.000).

=====

Most stable structure among those shown: one). Next: +19 meV/atom.